No. 1
The following is a PBE calculation of a relaxed structure of KLi2Pb, from the Alexandria database.

abc: 5.282 5.282 3.892
angles: 90.00 90.00 90.00
Sites, in units of the cell vectors:
1 K 0.000 0.000 0.000
2 Li 0.000 0.500 0.500
3 Li 0.500 0.000 0.500
4 Pb 0.500 0.500 0.000

Mass density = 4.0 g/cm³
Calculated formation energy = -0.0496 eV/atom
Volume = 27.15 Å³/atom
Symmetry = P4/mmm

***

No. 2
The following is a PBE calculation of a relaxed structure of KLiPb, from the Alexandria database.

abc: 7.052 7.052 5.931
angles: 90.00 90.00 138.68
Sites, in units of the cell vectors:
1 K 0.221 0.779 0.750
2 K 0.779 0.221 0.250
3 Li 0.500 0.500 0.000
4 Li 0.500 0.500 0.500
5 Pb 0.062 0.938 0.250
6 Pb 0.938 0.062 0.750

Mass density = 4.3 g/cm³
Calculated formation energy = -0.2057 eV/atom
Volume = 32.47 Å³/atom
Symmetry = Cmcm
Relative energy among the computed polymorphs = 0 meV/atom